First-principles (GGA-PBE) data for crystalline Co3BiCl at its relaxed geometry, as listed in the Alexandria database.

Values from the calculation:
raw formation energy: 1.36 eV per atom
energy above the most stable polymorph in this dataset: 611 meV per atom
calculated total energy: -4.0462 eV per atom

Cell and atoms, written as POSCAR:
```
Co3BiCl
1.0
5.043 0.000 0.000
0.000 5.043 0.000
0.000 0.000 5.043
Co Bi Cl
3 1 1
Cartesian
0.000 2.522 0.000 Co
0.000 0.000 2.522 Co
2.522 0.000 0.000 Co
0.000 0.000 0.000 Bi
2.522 2.522 2.522 Cl
```

***

First-principles (GGA-PBE) data for crystalline CoBi3Cl at its relaxed geometry, as listed in the Alexandria database.

Values from the calculation:
raw formation energy: 1.25 eV per atom
energy above the most stable polymorph in this dataset: 1014 meV per atom
calculated total energy: -2.8705 eV per atom

Cell and atoms, written as POSCAR:
```
CoBi3Cl
1.0
-0.209 2.693 4.660
-5.366 0.255 -0.388
-0.415 -4.658 2.673
Co Bi Cl
1 3 1
Cartesian
-2.995 -0.855 3.473 Co
-2.683 0.128 -0.194 Bi
-0.207 -2.329 1.336 Bi
-0.104 1.346 2.330 Bi
0.000 0.000 0.000 Cl
```

***

First-principles (GGA-PBE) data for crystalline CoBiCl5 at its relaxed geometry, as listed in the Alexandria database.

Values from the calculation:
raw formation energy: -0.77 eV per atom
calculated total energy: -3.6556 eV per atom

Cell and atoms, written as POSCAR:
```
CoBiCl5
1.0
4.907 5.142 0.057
-4.907 5.142 0.057
0.000 5.162 8.901
Co Bi Cl
2 2 10
Cartesian
-1.101 9.013 6.733 Co
1.101 6.432 2.282 Co
0.000 2.581 4.451 Bi
0.000 0.000 0.000 Bi
-2.261 8.341 4.925 Cl
0.377 7.444 7.419 Cl
3.976 9.013 6.733 Cl
-2.261 9.686 8.541 Cl
2.261 5.760 0.474 Cl
0.377 10.582 6.047 Cl
-0.377 4.863 2.968 Cl
-3.976 6.432 2.282 Cl
-0.377 8.001 1.596 Cl
2.261 7.105 4.090 Cl
```

***

First-principles (GGA-PBE) data for crystalline CoBi3Cl at its relaxed geometry, as listed in the Alexandria database.

Values from the calculation:
raw formation energy: 0.23 eV per atom
energy above the most stable polymorph in this dataset: 0 meV per atom
calculated total energy: -3.8845 eV per atom

Cell and atoms, written as POSCAR:
```
CoBi3Cl
1.0
5.177 0.000 0.000
0.000 5.177 0.000
0.000 0.000 5.177
Co Bi Cl
1 3 1
Cartesian
0.000 0.000 0.000 Co
0.000 2.589 0.000 Bi
0.000 0.000 2.589 Bi
2.589 0.000 0.000 Bi
2.589 2.589 2.589 Cl
```

***

First-principles (GGA-PBE) data for crystalline CoBiCl3 at its relaxed geometry, as listed in the Alexandria database.

Values from the calculation:
raw formation energy: 0.21 eV per atom
energy above the most stable polymorph in this dataset: 390 meV per atom
calculated total energy: -3.0933 eV per atom

Cell and atoms, written as POSCAR:
```
CoBiCl3
1.0
5.508 0.000 0.000
0.000 5.508 0.000
0.000 0.000 5.508
Co Bi Cl
1 1 3
Cartesian
2.754 2.754 2.754 Co
0.000 0.000 0.000 Bi
0.000 2.754 0.000 Cl
0.000 0.000 2.754 Cl
2.754 0.000 0.000 Cl
```

***

First-principles (GGA-PBE) data for crystalline CrCoBiCl2 at its relaxed geometry, as listed in the Alexandria database.

Values from the calculation:
raw formation energy: 0.93 eV per atom
calculated total energy: -3.9296 eV per atom

Cell and atoms, written as POSCAR:
```
CrCoBiCl2
1.0
5.422 0.000 0.000
0.000 5.673 0.000
0.000 0.000 5.422
Cr Co Bi Cl
1 1 1 2
Cartesian
0.000 2.837 0.000 Cr
2.711 2.837 2.711 Co
0.000 0.000 0.000 Bi
0.000 0.000 2.711 Cl
2.711 0.000 0.000 Cl
```

***

First-principles (GGA-PBE) data for crystalline CsCo2BiCl8 at its relaxed geometry, as listed in the Alexandria database.

Values from the calculation:
raw formation energy: -0.95 eV per atom
calculated total energy: -3.7613 eV per atom

Cell and atoms, written as POSCAR:
```
CsCo2BiCl8
1.0
-1.580 -6.307 -0.804
4.707 -4.467 -0.903
1.617 -5.016 9.472
Cs Co Bi Cl
1 2 1 8
Cartesian
2.372 -7.895 3.882 Cs
1.176 -3.922 1.760 Co
3.569 -11.868 6.005 Co
0.000 0.000 0.000 Bi
1.300 -4.229 3.923 Cl
0.648 -5.900 0.768 Cl
3.445 -11.561 3.842 Cl
1.611 -9.489 0.204 Cl
3.133 -6.301 7.561 Cl
4.271 -6.842 0.427 Cl
0.474 -8.948 7.338 Cl
4.096 -9.890 6.997 Cl
```

***

First-principles (GGA-PBE) data for crystalline Cs2CoBiCl6 at its relaxed geometry, as listed in the Alexandria database.

Values from the calculation:
raw formation energy: -1.21 eV per atom
calculated total energy: -3.5839 eV per atom

Cell and atoms, written as POSCAR:
```
Cs2CoBiCl6
1.0
7.454 0.000 0.000
0.000 7.454 0.000
3.727 3.727 5.270
Cs Co Bi Cl
2 1 1 6
Cartesian
7.454 3.727 2.635 Cs
3.727 7.454 2.635 Cs
3.727 3.727 0.000 Co
0.000 0.000 0.000 Bi
3.727 3.727 2.508 Cl
7.454 7.454 2.762 Cl
1.953 1.953 0.000 Cl
5.501 5.501 0.000 Cl
5.501 1.953 0.000 Cl
1.953 5.501 0.000 Cl
```

***

Question: Which value of calculated total energy does entry 8 give?
Answer: -3.5839 eV per atom

***

Please write out number 4 again, unchanged.
First-principles (GGA-PBE) data for crystalline CoBi3Cl at its relaxed geometry, as listed in the Alexandria database.

Values from the calculation:
raw formation energy: 0.23 eV per atom
energy above the most stable polymorph in this dataset: 0 meV per atom
calculated total energy: -3.8845 eV per atom

Cell and atoms, written as POSCAR:
```
CoBi3Cl
1.0
5.177 0.000 0.000
0.000 5.177 0.000
0.000 0.000 5.177
Co Bi Cl
1 3 1
Cartesian
0.000 0.000 0.000 Co
0.000 2.589 0.000 Bi
0.000 0.000 2.589 Bi
2.589 0.000 0.000 Bi
2.589 2.589 2.589 Cl
```